This record from OQMD describes Lu2SiAg after structural relaxation. The functional is PBE.

Properties
- Electronic total energy: -16.8 eV/cell
- Space group: F-43m

a b c (Å): 4.9554 4.9554 4.9554
angles (deg): 60.00 60.00 60.00
Fractional coordinates of all 4 atoms:
Ag  0.2500  0.2500  0.2500
Lu  0.0000  0.0000  0.0000
Lu  0.7500  0.7500  0.7500
Si  0.5000  0.5000  0.5000